Compound: Pr3Nd4Y4
Source: Alexandria
Functional: PBE-GGA
Structure: optimized geometry

The structure in POSCAR format:
```
Pr3Nd4Y4
1.0
-1.804 5.725 9.513
1.804 -5.725 9.513
1.804 5.725 -9.513
Pr Nd Y
3 4 4
Cartesian
0.000 0.000 0.000 Pr
1.804 0.000 7.584 Pr
0.000 5.725 1.929 Pr
1.804 2.684 -3.209 Nd
1.804 2.684 3.209 Nd
0.000 3.040 6.305 Nd
0.000 3.040 12.722 Nd
0.000 0.000 4.434 Y
1.804 3.265 0.000 Y
0.000 2.459 9.513 Y
0.000 0.000 14.592 Y
```

As for the crystal system: orthorhombic. For the density of states at the Fermi level, the calculation gives 14.6 states/eV/cell. The value obtained for the energy of formation from the pure elements is 0.1740 eV per atom. As for the total magnetic moment: 0.00 μB/atom. The energy above the lowest structure with this stoichiometry comes out at 0.029 eV/atom. The space group is Immm (71).